9
Lattice="4.9359 0.0000 0.0000 -2.4680 4.2747 0.0000 0.0000 0.0000 6.7384" Properties=species:S:1:pos:R:3 comment="TaGe2 GGA-PBEsol optimized geometry" magmom_total_mub_per_atom=0.00 formation_enthalpy_0k_mev_per_atom=-313 total_energy_ev_per_atom=-7.790 pbc="T T T"
Ta -1.2340 2.1373 2.2461
Ta 2.4680 0.0000 0.0000
Ta 1.2340 2.1373 4.4923
Ge 0.0000 1.4037 0.0000
Ge -1.2523 3.5728 4.4923
Ge 1.2156 0.7018 2.2461
Ge 1.2523 3.5728 2.2461
Ge 3.7203 0.7018 4.4923
Ge 2.4680 2.8710 0.0000

18
Lattice="5.1748 0.0000 0.0000 0.6359 6.1051 0.0000 2.0562 2.4435 7.9855" Properties=species:S:1:pos:R:3 comment="Mn2F7 GGA-PBEsol optimized geometry" raw_formation_energy_ev_per_atom=-2.222 polymorph_energy_mev_per_atom=37 magmom_total_mub_per_atom=0.78 total_energy_ev_per_atom=-5.890 pbc="T T T"
Mn 2.0887 3.6268 2.6326
Mn 3.2953 3.7924 6.4563
Mn 4.5716 4.7562 1.5292
Mn 5.7781 4.9218 5.3529
F 0.9356 3.9755 0.9726
F 1.4559 2.0585 2.9095
F 2.3353 3.9705 4.7330
F 2.7079 2.1883 6.5950
F 4.0770 3.8643 7.9830
F 2.9796 5.2972 2.4024
F 4.0766 5.4952 5.9683
F 3.7903 3.0534 2.0172
F 4.8872 3.2514 5.5831
F 3.7899 4.6842 0.0025
F 5.1589 6.3602 1.3906
F 5.5316 4.5781 3.2525
F 6.4109 6.4901 5.0760
F 6.9312 4.5730 7.0129

4
Lattice="2.0669 1.1934 6.2485 -2.0669 1.1934 6.2485 0.0000 -2.3867 6.2485" Properties=species:S:1:pos:R:3 comment="CaTc2Pb GGA-PBEsol optimized geometry" magmom_total_mub_per_atom=0.00 formation_enthalpy_0k_mev_per_atom=241 total_energy_ev_per_atom=-6.925 pbc="T T T"
Ca 0.0000 0.0000 0.0000
Tc 0.0000 0.0000 4.1690
Tc 0.0000 0.0000 10.1327
Pb 0.0000 0.0000 14.7947

4
Lattice="3.1333 0.0000 0.0000 0.0000 3.5713 0.0000 0.0000 0.0000 6.0398" Properties=species:S:1:pos:R:3 comment="LiIn2Rh GGA-PBEsol optimized geometry" polymorph_energy_mev_per_atom=61 magmom_total_mub_per_atom=0.00 formation_enthalpy_0k_mev_per_atom=-381 total_energy_ev_per_atom=-4.398 pbc="T T T"
Li 0.0000 0.0000 0.0000
In 1.5667 1.7857 1.5468
In 1.5667 1.7857 4.4930
Rh 0.0000 0.0000 3.0199

5
Lattice="4.7952 0.0000 0.0000 0.0000 4.7952 0.0000 0.0000 0.0000 4.7952" Properties=species:S:1:pos:R:3 comment="KAl3W GGA-PBEsol optimized geometry" polymorph_energy_mev_per_atom=2124 magmom_total_mub_per_atom=0.49 formation_enthalpy_0k_mev_per_atom=2577 total_energy_ev_per_atom=-2.866 pbc="T T T"
K 0.0000 0.0000 0.0000
Al 0.0000 0.0000 2.3976
Al 0.0000 2.3976 0.0000
Al 2.3976 0.0000 0.0000
W 2.3976 2.3976 2.3976

4
Lattice="2.8684 0.0000 0.0000 0.0000 2.8684 0.0000 0.0000 0.0000 5.9317" Properties=species:S:1:pos:R:3 comment="Cu3Pt GGA-PBEsol optimized geometry" magmom_total_mub_per_atom=0.00 formation_enthalpy_0k_mev_per_atom=-71 total_energy_ev_per_atom=-5.062 pbc="T T T"
Cu 0.0000 0.0000 0.0000
Cu 1.4342 1.4342 1.3634
Cu 1.4342 1.4342 4.5683
Pt 0.0000 0.0000 2.9658

5
Lattice="4.9951 0.0000 0.0000 0.0000 4.9951 0.0000 0.0000 0.0000 5.0992" Properties=species:S:1:pos:R:3 comment="TlMoP2Cl GGA-PBEsol optimized geometry" raw_formation_energy_ev_per_atom=1.581 magmom_total_mub_per_atom=0.61 total_energy_ev_per_atom=-4.016 pbc="T T T"
Tl 0.0000 0.0000 0.0000
Mo 2.4975 2.4975 2.5496
P 0.0000 2.4975 0.0000
P 2.4975 0.0000 0.0000
Cl 0.0000 0.0000 2.5496

4
Lattice="2.3912 1.3806 5.8005 -2.3912 1.3806 5.8005 0.0000 -2.7611 5.8005" Properties=species:S:1:pos:R:3 comment="CsSF2 GGA-PBEsol optimized geometry" raw_formation_energy_ev_per_atom=-1.518 magmom_total_mub_per_atom=0.25 total_energy_ev_per_atom=-3.814 pbc="T T T"
Cs 0.0000 0.0000 0.0000
S 0.0000 0.0000 8.7007
F 0.0000 0.0000 6.8593
F 0.0000 0.0000 10.5421

5
Lattice="5.6128 0.0000 0.0000 0.0000 5.6128 0.0000 0.0000 0.0000 5.6128" Properties=species:S:1:pos:R:3 comment="TiSn3Pb GGA-PBEsol optimized geometry" magmom_total_mub_per_atom=0.50 formation_enthalpy_0k_mev_per_atom=1231 total_energy_ev_per_atom=-3.788 pbc="T T T"
Ti 0.0000 0.0000 0.0000
Sn 0.0000 2.8064 2.8064
Sn 2.8064 0.0000 2.8064
Sn 2.8064 2.8064 0.0000
Pb 2.8064 2.8064 2.8064

3
Lattice="4.3376 0.0000 0.0000 -2.1688 3.7565 0.0000 0.0000 0.0000 2.7526" Properties=species:S:1:pos:R:3 comment="Zn2Au GGA-PBEsol optimized geometry" magmom_total_mub_per_atom=0.00 formation_enthalpy_0k_mev_per_atom=-111 total_energy_ev_per_atom=-2.473 pbc="T T T"
Zn 0.0000 2.5043 0.9551
Zn 2.1688 1.2522 1.7975
Au 0.0000 0.0000 0.0000

5
Lattice="4.8518 0.0000 0.0000 0.0000 4.8518 0.0000 0.0000 0.0000 5.0106" Properties=species:S:1:pos:R:3 comment="CuPdSe2Br GGA-PBEsol optimized geometry" raw_formation_energy_ev_per_atom=0.613 magmom_total_mub_per_atom=0.00 total_energy_ev_per_atom=-3.360 pbc="T T T"
Cu 0.0000 0.0000 0.0000
Pd 2.4259 2.4259 2.5053
Se 0.0000 2.4259 2.5053
Se 2.4259 0.0000 2.5053
Br 2.4259 2.4259 0.0000

5
Lattice="5.6382 0.0000 0.0000 0.0000 5.6382 0.0000 0.0000 0.0000 5.5308" Properties=species:S:1:pos:R:3 comment="AlSnSbTe2 GGA-PBEsol optimized geometry" raw_formation_energy_ev_per_atom=0.670 magmom_total_mub_per_atom=0.00 total_energy_ev_per_atom=-3.322 pbc="T T T"
Al 0.0000 0.0000 0.0000
Sn 2.8191 2.8191 2.7654
Sb 2.8191 2.8191 0.0000
Te 0.0000 2.8191 2.7654
Te 2.8191 0.0000 2.7654

4
Lattice="4.7425 -1.4003 0.0000 4.7425 1.4003 0.0000 -0.8964 0.0000 4.5219" Properties=species:S:1:pos:R:3 comment="MnAg2Ir GGA-PBEsol optimized geometry" polymorph_energy_mev_per_atom=70 magmom_total_mub_per_atom=0.97 formation_enthalpy_0k_mev_per_atom=293 total_energy_ev_per_atom=-6.259 pbc="T T T"
Mn 0.0000 0.0000 0.0000
Ag 1.6972 0.0000 3.3938
Ag 6.8914 0.0000 1.1281
Ir 4.2943 0.0000 2.2609

4
Lattice="1.3659 0.7886 9.1146 -1.3659 0.7886 9.1146 0.0000 -1.5772 9.1146" Properties=species:S:1:pos:R:3 comment="ReAgOs2 GGA-PBEsol optimized geometry" polymorph_energy_mev_per_atom=0 magmom_total_mub_per_atom=0.00 formation_enthalpy_0k_mev_per_atom=254 total_energy_ev_per_atom=-10.015 pbc="T T T"
Re 0.0000 0.0000 0.0000
Ag 0.0000 0.0000 13.6719
Os 0.0000 0.0000 6.9724
Os 0.0000 0.0000 20.3714